Below is a relaxed structure of Y2MgAlC, with properties calculated at the PBE level.

a = 5.0501 Å, b = 5.0501 Å, c = 4.0522 Å
α = 90.00°, β = 90.00°, γ = 90.00°
Last column: nearest neighbours and their distance in Å.
Atoms (fractional coordinates):
Y: 0.0000 0.5000 0.0000  2 C 2.53
Y: 0.5000 0.0000 0.0000  2 C 2.53
Mg: 0.0000 0.0000 0.5000  8 Y 3.24, 4 Al 3.57
Al: 0.5000 0.5000 0.5000  2 C 2.03
C: 0.5000 0.5000 0.0000  2 Al 2.03

Computed properties:
- D(E_F) (states/eV/cell) = 4.17
- uncorrected energy (eV/cell) = -28.5
- total magnetization (μB/f.u.) = 0.0
- ΔH_f (0 K) (eV/atom) = -0.20
- ρ (g/cm³) = 3.87